## TcSbI2 (PBE-GGA)

Data for an optimized crystal structure of TcSbI2.

Geometry as POSCAR:
```
TcSbI2
1.0
0.000 3.738 3.738
3.738 0.000 3.738
3.738 3.738 0.000
Tc Sb I
1 1 2
Direct
0.000 0.000 0.000 Tc
0.500 0.500 0.500 Sb
0.250 0.250 0.250 I
0.750 0.750 0.750 I
```

Results
- excess energy over the best structure of this formula in the dataset (eV per formula unit) = 2.75
- D(E_F) (states/eV per cell) = 2.766
- formation energy from raw total energies (eV/atom) = 0.9715